Entry from Alexandria: an optimized crystal structure of MgTiHPd2 (GGA-PBE).

Results
**Energy**: -5.005 eV/atom

The structure in POSCAR format:
```
MgTiHPd2
1.0
4.4948 0.0000 0.0000
0.0000 4.4948 0.0000
0.0000 0.0000 3.3883
Pd H Mg Ti
2 1 1 1
Cartesian
2.2474 0.0000 0.0000 Pd
0.0000 2.2474 0.0000 Pd
0.0000 0.0000 0.0000 H
2.2474 2.2474 1.6942 Mg
0.0000 0.0000 1.6942 Ti
```